[1]
This record from Alexandria via LeMat-Bulk describes CsPmBi after structural relaxation. The functional is PBE-GGA.

## Properties
* crystal system: tetragonal
* total DFT energy (no corrections): -3.731 eV per atom
* energy of formation from the pure elements: -0.57 eV/atom
* symmetry: I4/mmm, No. 139

Cell lengths 4.444, 4.444, 29.636 Å; angles 90.00, 90.00, 90.00 degrees
Atoms (fractional coordinates):
1 Cs 0.000 0.000 0.085
2 Cs 0.000 0.000 0.915
3 Cs 0.500 0.500 0.415
4 Cs 0.500 0.500 0.585
5 Pm 0.000 0.000 0.211
6 Pm 0.000 0.000 0.789
7 Pm 0.500 0.500 0.289
8 Pm 0.500 0.500 0.711
9 Bi 0.000 0.000 0.321
10 Bi 0.000 0.000 0.679
11 Bi 0.500 0.500 0.179
12 Bi 0.500 0.500 0.821

***

[2]
This record from Alexandria via LeMat-Bulk describes Ac2ScTiS6 after structural relaxation. The functional is PBE-GGA.

## Properties
* crystal system: monoclinic
* total DFT energy (no corrections): -6.649 eV per atom
* symmetry: P2_1/c, No. 14

Cell lengths 6.646, 7.197, 11.694 Å; angles 90.00, 124.26, 90.00 degrees
Atoms (fractional coordinates):
1 Ac 0.222 0.087 0.249
2 Ac 0.222 0.413 0.749
3 Ac 0.778 0.587 0.251
4 Ac 0.778 0.913 0.751
5 Sc 0.500 0.000 0.000
6 Sc 0.500 0.500 0.500
7 Ti 0.000 0.000 0.500
8 Ti 0.000 0.500 0.000
9 S 0.139 0.200 0.953
10 S 0.139 0.300 0.453
11 S 0.261 0.691 0.954
12 S 0.261 0.809 0.454
13 S 0.335 0.014 0.745
14 S 0.335 0.486 0.245
15 S 0.665 0.514 0.755
16 S 0.665 0.986 0.255
17 S 0.739 0.191 0.546
18 S 0.739 0.309 0.046
19 S 0.861 0.700 0.547
20 S 0.861 0.800 0.047

***

[3]
This record from Alexandria via LeMat-Bulk describes Na3Hg2Cl3O2 after structural relaxation. The functional is PBE-GGA.

## Properties
* crystal system: tetragonal
* total DFT energy (no corrections): -3.074 eV per atom
* symmetry: I4/mmm, No. 139

Cell lengths 12.024, 12.024, 12.024 Å; angles 159.06, 159.06, 29.78 degrees
Atoms (fractional coordinates):
1 Na 0.000 0.000 0.000
2 Na 0.384 0.384 0.000
3 Na 0.616 0.616 0.000
4 Hg 0.250 0.750 0.500
5 Hg 0.750 0.250 0.500
6 Cl 0.120 0.120 0.000
7 Cl 0.500 0.500 0.000
8 Cl 0.880 0.880 0.000
9 O 0.284 0.284 0.000
10 O 0.716 0.716 0.000

***

[4]
This record from Alexandria via LeMat-Bulk describes LaHfZr2W after structural relaxation. The functional is PBE-GGA.

## Properties
* crystal system: tetragonal
* total DFT energy (no corrections): -7.379 eV per atom
* energy of formation from the pure elements: 1.61 eV/atom
* symmetry: P4/mmm, No. 123

Cell lengths 5.071, 5.071, 4.888 Å; angles 90.00, 90.00, 90.00 degrees
Atoms (fractional coordinates):
1 La 0.000 0.000 0.000
2 Hf 0.500 0.500 0.500
3 Zr 0.000 0.500 0.000
4 Zr 0.500 0.000 0.000
5 W 0.000 0.000 0.500